# KSn12Au6 PBE-GGA relaxed
# Total DFT energy (no corrections) ... -3.74 eV/atom
# Size of the total moment ... 0.00 μB/f.u.
# ΔH_f (0 K) ... -0.12 eV per atom
data_KSn12Au6
_cell_length_a 13.7333
_cell_length_b 13.7333
_cell_length_c 9.3338
_cell_angle_alpha 90.00
_cell_angle_beta 90.00
_cell_angle_gamma 120.00
_space_group_name_H-M_alt 'R -3 m'
_space_group_IT_number 166
_space_group_name_Hall '-R 3 2"'
loop_
_atom_site_label
_atom_site_fract_x
_atom_site_fract_y
_atom_site_fract_z
K1 0.0000 0.0000 0.0000
Sn1 0.0000 0.3856 0.5000
Sn2 0.0876 0.1751 0.3420
Au1 0.0023 0.5011 0.2390